Computed, not measured: crystalline NiSbPt2O6 at its relaxed geometry at the PBE with a Hubbard U level of DFT.

Properties
Crystal system: monoclinic
M_tot in Bohr magnetons per cell: 7.504
Total energy in eV/atom: -5.504

Cell lengths 11.106, 6.308, 7.774 Å; angles 90.00, 105.40, 90.00 degrees
Space group C2/c (No. 15)
Unique sites:
1 Ni 0.000 0.247 0.250 (multiplicity 4)
2 Sb 0.000 0.265 0.750 (multiplicity 4)
3 Pt 0.202 0.084 0.078 (multiplicity 8)
4 O 0.029 0.215 0.008 (multiplicity 8)
5 O 0.123 0.498 0.294 (multiplicity 8)
6 O 0.138 0.015 0.800 (multiplicity 8)